# 1
The following is a DFT calculation (PBE) of TbY5Cd4 after structural relaxation.

It has space group P4/mmm (No. 123), with a = 3.711 Å, b = 3.711 Å, c = 20.162 Å, α = 90.00°, β = 90.00° and γ = 90.00°. The distinct sites, in fractional coordinates, are Tb at (0.000, 0.000, 0.000), Y at (0.500, 0.500, 0.122), Y at (0.500, 0.500, 0.312), Y at (0.500, 0.500, 0.500), Cd at (0.000, 0.000, 0.216) and Cd at (0.000, 0.000, 0.405).

The formation energy comes out at -2.69 eV per formula unit.



# 2
The following is a DFT calculation (PBE) of Tb4Y2Cd after structural relaxation.

It has space group C2/m (No. 12), with a = 16.573 Å, b = 3.495 Å, c = 8.525 Å, α = 90.00°, β = 117.57° and γ = 90.00°. The distinct sites, in fractional coordinates, are Tb at (0.081, 0.000, 0.202), Tb at (0.130, 0.500, 0.893), Y at (0.217, 0.000, 0.641) and Cd at (0.000, 0.000, 0.500).

The formation energy comes out at 0.28 eV per formula unit.



# 3
The following is a DFT calculation (PBE) of Tb2YCd5 after structural relaxation.

It has space group I4/mmm (No. 139), with a = 5.130 Å, b = 5.130 Å, c = 15.118 Å, α = 90.00°, β = 90.00° and γ = 90.00°. The distinct sites, in fractional coordinates, are Tb at (0.000, 0.000, 0.239), Y at (0.000, 0.000, 0.500), Cd at (0.000, 0.000, 0.000) and Cd at (0.000, 0.500, 0.119).

The formation energy comes out at -2.49 eV per formula unit.



# 4
The following is a DFT calculation (PBE) of Tb4YCd after structural relaxation.

It has space group Cmc2_1 (No. 36), with a = 5.547 Å, b = 20.833 Å, c = 6.507 Å, α = 90.00°, β = 90.00° and γ = 90.00°. The distinct sites, in fractional coordinates, are Tb at (0.000, 0.038, 0.000), Tb at (0.000, 0.181, 0.821), Tb at (0.000, 0.249, 0.290), Tb at (0.000, 0.364, 0.670), Y at (0.000, 0.437, 0.176) and Cd at (0.000, 0.105, 0.423).

The formation energy comes out at 0.30 eV per formula unit. The offset from the most stable computed form comes out at 0.1410 eV/atom.



# 5
The following is a DFT calculation (PBE) of Tb5YCd6 after structural relaxation.

It has space group P2/m (No. 10), with a = 5.303 Å, b = 7.544 Å, c = 8.386 Å, α = 90.00°, β = 108.29° and γ = 90.00°. The distinct sites, in fractional coordinates, are Tb at (0.000, 0.000, 0.000), Tb at (0.333, 0.000, 0.666), Tb at (0.333, 0.500, 0.667), Y at (0.000, 0.500, 0.000), Cd at (0.167, 0.250, 0.333) and Cd at (0.500, 0.250, 0.000).

The formation energy comes out at -3.90 eV per formula unit.



# 6
The following is a DFT calculation (PBE) of Tb2Y5Cd after structural relaxation.

It has space group I4/mmm (No. 139), with a = 7.020 Å, b = 7.020 Å, c = 9.970 Å, α = 90.00°, β = 90.00° and γ = 90.00°. The distinct sites, in fractional coordinates, are Tb at (0.000, 0.500, 0.000), Y at (0.000, 0.000, 0.000), Y at (0.250, 0.250, 0.250) and Cd at (0.000, 0.000, 0.500).

The formation energy comes out at -0.12 eV per formula unit.



# 7
The following is a DFT calculation (PBE) of Tb2Y8Cd after structural relaxation.

It has space group C2/m (No. 12), with a = 19.415 Å, b = 5.574 Å, c = 6.444 Å, α = 90.00°, β = 94.94° and γ = 90.00°. The distinct sites, in fractional coordinates, are Tb at (0.243, 0.000, 0.335), Y at (0.045, 0.000, 0.262), Y at (0.078, 0.500, 0.601), Y at (0.155, 0.000, 0.804), Y at (0.160, 0.500, 0.125) and Cd at (0.000, 0.500, 0.000).

The formation energy comes out at -0.25 eV per formula unit. The offset from the most stable computed form comes out at 0.0000 eV/atom.



# 8
The following is a DFT calculation (PBE) of Tb9Y4Cd11 after structural relaxation.

It has space group Cmmm (No. 65), with a = 16.094 Å, b = 22.745 Å, c = 3.528 Å, α = 90.00°, β = 90.00° and γ = 90.00°. The distinct sites, in fractional coordinates, are Tb at (0.000, 0.000, 0.000), Tb at (0.113, 0.407, 0.000), Tb at (0.114, 0.232, 0.000), Y at (0.166, 0.084, 0.000), Cd at (0.000, 0.129, 0.500), Cd at (0.000, 0.320, 0.500), Cd at (0.000, 0.500, 0.500), Cd at (0.216, 0.500, 0.500) and Cd at (0.231, 0.319, 0.500).

The formation energy comes out at -5.86 eV per formula unit.



# 9
The following is a DFT calculation (PBE) of TbYCd2 after structural relaxation.

It has space group P4/mmm (No. 123), with a = 5.294 Å, b = 5.294 Å, c = 3.777 Å, α = 90.00°, β = 90.00° and γ = 90.00°. The distinct sites, in fractional coordinates, are Tb at (0.000, 0.000, 0.000), Y at (0.500, 0.500, 0.000) and Cd at (0.000, 0.500, 0.500).

The formation energy comes out at -1.35 eV per formula unit.



# 10
The following is a DFT calculation (PBE) of Tb3YCd2 after structural relaxation.

It has space group P4/mmm (No. 123), with a = 3.683 Å, b = 3.683 Å, c = 12.662 Å, α = 90.00°, β = 90.00° and γ = 90.00°. The distinct sites, in fractional coordinates, are Tb at (0.000, 0.000, 0.000), Tb at (0.000, 0.000, 0.306), Y at (0.500, 0.500, 0.500) and Cd at (0.500, 0.500, 0.152).

The formation energy comes out at -1.18 eV per formula unit. The offset from the most stable computed form comes out at 0.0238 eV/atom.



# 11
The following is a DFT calculation (PBE) of Tb5Y4Cd after structural relaxation.

It has space group P4/mmm (No. 123), with a = 3.580 Å, b = 3.580 Å, c = 24.253 Å, α = 90.00°, β = 90.00° and γ = 90.00°. The distinct sites, in fractional coordinates, are Tb at (0.000, 0.000, 0.000), Tb at (0.000, 0.000, 0.208), Tb at (0.000, 0.000, 0.415), Y at (0.500, 0.500, 0.104), Y at (0.500, 0.500, 0.311) and Cd at (0.500, 0.500, 0.500).

The formation energy comes out at -0.46 eV per formula unit. The offset from the most stable computed form comes out at 0.0000 eV/atom.



# 12
The following is a DFT calculation (PBE) of Tb2Y8Cd after structural relaxation.

It has space group C2/m (No. 12), with a = 18.458 Å, b = 6.833 Å, c = 5.722 Å, α = 90.00°, β = 91.90° and γ = 90.00°. The distinct sites, in fractional coordinates, are Tb at (0.219, 0.000, 0.259), Y at (0.050, 0.000, 0.234), Y at (0.125, 0.238, 0.745), Y at (0.175, 0.500, 0.234) and Cd at (0.000, 0.500, 0.000).

The formation energy comes out at 1.08 eV per formula unit. The offset from the most stable computed form comes out at 0.1214 eV/atom.